[1]
DFT (PBE-GGA) results for BaScAuSeS2 after structural relaxation.

a b c (Å): 7.305 7.305 10.324
angles (deg): 90.00 90.00 147.85
Positions (direct):
S 0.875 0.125 0.539
S 0.125 0.875 0.461
S 0.125 0.875 0.039
S 0.875 0.125 0.961
Au 0.952 0.048 0.750
Au 0.048 0.952 0.250
Se 0.422 0.578 0.250
Se 0.578 0.422 0.750
Sc 0.500 0.500 0.000
Sc 0.500 0.500 0.500
Ba 0.744 0.256 0.250
Ba 0.256 0.744 0.750

Final energy = -5.28 eV/atom
Total magnetization = 0.0 μB/cell



[2]
DFT (PBE-GGA) results for BaScTe2AuS after structural relaxation.

a b c (Å): 7.640 7.640 10.680
angles (deg): 90.00 90.00 147.43
Positions (direct):
Te 0.138 0.862 0.954
Te 0.862 0.138 0.046
Te 0.138 0.862 0.546
Te 0.862 0.138 0.454
Ba 0.234 0.766 0.250
Ba 0.766 0.234 0.750
Sc 0.500 0.500 0.500
Sc 0.500 0.500 0.000
S 0.431 0.569 0.750
S 0.569 0.431 0.250
Au 0.023 0.977 0.750
Au 0.977 0.023 0.250

Final energy = -4.85 eV/atom
Total magnetization = 0.0 μB/cell



[3]
DFT (PBE-GGA) results for BaSiAu2SeS3 after structural relaxation.

a b c (Å): 6.447 6.458 6.528
angles (deg): 79.05 60.50 60.98
Positions (direct):
Ba 0.006 0.998 0.995
Au 0.493 0.327 0.675
Au 0.506 0.685 0.325
Se 0.366 0.484 0.166
S 0.023 0.507 0.820
S 0.964 0.180 0.498
S 0.652 0.822 0.512
Si 0.990 0.498 0.508

Final energy = -4.54 eV/atom